(1)
A plane-wave DFT calculation with GGA-PBE was carried out for LuTh2Co after structural relaxation.

Cell: 3.5486 3.5486 8.2625 Å, 90.00 90.00 90.00°
Closest atoms and distances in Å follow each position.
Positions (direct):
Lu  0.0000  0.0000  0.0000  4 Lu 3.55, 8 Th 3.56
Th  0.5000  0.5000  0.3054  4 Co 2.98, 1 Th 3.22
Th  0.5000  0.5000  0.6946  4 Co 2.98, 1 Th 3.22
Co  0.0000  0.0000  0.5000  8 Th 2.98

## Properties
Its formation energy is 0.00 eV/f.u. The size of the total moment comes out at 0.0 μB/f.u. The space group is No. 123. Its offset from the most stable computed form is 0 kJ/mol of formula units. The calculation puts the volume at 104 Å³/f.u. As for the calculated total energy: -6.617 eV/atom.



(2)
A plane-wave DFT calculation with GGA-PBE was carried out for Fe4Ni3Rh2 after structural relaxation.

Cell: 5.0239 11.2966 4.0966 Å, 90.00 90.00 90.00°
Closest atoms and distances in Å follow each position.
Positions (direct):
Fe  0.1358  0.1045  0.0000  1 Fe 2.43, 4 Ni 2.46, 3 Rh 2.46-2.56
Fe  0.1451  0.7961  0.5000  5 Ni 2.42-2.54, 1 Fe 2.43, 3 Rh 2.59-2.67
Fe  0.3549  0.2961  0.0000  5 Ni 2.42-2.54, 1 Fe 2.43, 3 Rh 2.59-2.67
Fe  0.3642  0.6045  0.5000  1 Fe 2.43, 4 Ni 2.46, 3 Rh 2.46-2.56
Fe  0.6358  0.3955  0.5000  1 Fe 2.43, 4 Ni 2.46, 3 Rh 2.46-2.56
Fe  0.6451  0.7039  0.0000  5 Ni 2.42-2.54, 1 Fe 2.43, 3 Rh 2.59-2.67
Fe  0.8549  0.2039  0.5000  5 Ni 2.42-2.54, 1 Fe 2.43, 3 Rh 2.59-2.67
Fe  0.8642  0.8955  0.0000  1 Fe 2.43, 4 Ni 2.46, 3 Rh 2.46-2.56
Ni  0.0000  0.0000  0.5000  6 Fe 2.42-2.46, 2 Ni 2.66
Ni  0.1441  0.6742  0.0000  6 Fe 2.46-2.54, 2 Rh 2.65, 1 Ni 2.66
Ni  0.3559  0.1742  0.5000  6 Fe 2.46-2.54, 2 Rh 2.65, 1 Ni 2.66
Ni  0.5000  0.5000  0.0000  6 Fe 2.42-2.46, 2 Ni 2.66
Ni  0.6441  0.8258  0.5000  6 Fe 2.46-2.54, 2 Rh 2.65, 1 Ni 2.66
Ni  0.8559  0.3258  0.0000  6 Fe 2.46-2.54, 2 Rh 2.65, 1 Ni 2.66
Rh  0.1462  0.4012  0.5000  6 Fe 2.46-2.67, 2 Ni 2.65, 1 Rh 2.67
Rh  0.3538  0.9012  0.0000  6 Fe 2.46-2.67, 2 Ni 2.65, 1 Rh 2.67
Rh  0.6462  0.0988  0.0000  6 Fe 2.46-2.67, 2 Ni 2.65, 1 Rh 2.67
Rh  0.8538  0.5988  0.5000  6 Fe 2.46-2.67, 2 Ni 2.65, 1 Rh 2.67

## Properties
Its formation energy is 1.07 eV/f.u. The size of the total moment comes out at 14.7 μB/f.u. The space group is No. 58. The calculation puts the volume at 116 Å³/f.u. As for the calculated total energy: -7.203 eV/atom.



(3)
A plane-wave DFT calculation with GGA-PBE was carried out for LiNbInRh after structural relaxation.

Cell: 4.4947 4.4947 4.4947 Å, 60.00 60.00 60.00°
Closest atoms and distances in Å follow each position.
Positions (direct):
Li  0.0000  0.0000  0.0000  4 Nb 2.75, 4 In 2.75
Nb  0.7500  0.7500  0.7500  4 Li 2.75, 4 Rh 2.75
In  0.2500  0.2500  0.2500  4 Li 2.75, 4 Rh 2.75
Rh  0.5000  0.5000  0.5000  4 In 2.75, 4 Nb 2.75

## Properties
Its formation energy is -1.50 eV/f.u. The size of the total moment comes out at 0.0 μB/f.u. The space group is No. 216. The calculation puts the volume at 64 Å³/f.u. As for the calculated total energy: -5.892 eV/atom.



(4)
A plane-wave DFT calculation with GGA-PBE was carried out for CrCd4Pt after structural relaxation.

Cell: 5.5235 5.5235 5.5235 Å, 60.00 60.00 60.00°
Closest atoms and distances in Å follow each position.
Positions (direct):
Cr  0.0000  0.0000  0.0000  12 Cd 3.24, 4 Pt 3.38
Cd  0.3752  0.3752  0.3752  6 Cd 2.76-2.77
Cd  0.3752  0.3752  0.8744  6 Cd 2.76-2.77
Cd  0.3752  0.8744  0.3752  6 Cd 2.76-2.77
Cd  0.8744  0.3752  0.3752  6 Cd 2.76-2.77
Pt  0.7500  0.7500  0.7500  12 Cd 3.24, 4 Cr 3.38

## Properties
Its formation energy is 1.66 eV/f.u. The size of the total moment comes out at 4.3 μB/f.u. The space group is No. 216. The calculation puts the volume at 119 Å³/f.u. As for the calculated total energy: -2.943 eV/atom.



(5)
A plane-wave DFT calculation with GGA-PBE was carried out for Cs3CSe after structural relaxation.

Cell: 6.1404 6.1404 6.1404 Å, 90.00 90.00 90.00°
Closest atoms and distances in Å follow each position.
Positions (direct):
Cs  0.0000  0.0000  0.5000  2 C 3.07
Cs  0.0000  0.5000  0.0000  2 C 3.07
Cs  0.5000  0.0000  0.0000  2 C 3.07
C  0.0000  0.0000  0.0000  6 Cs 3.07
Se  0.5000  0.5000  0.5000  12 Cs 4.34

## Properties
The size of the total moment comes out at 3.0 μB/f.u. The space group is No. 221. Its offset from the most stable computed form is 0 kJ/mol of formula units. The calculation puts the volume at 232 Å³/f.u. As for the calculated total energy: -2.630 eV/atom. The value obtained for the uncorrected formation energy is 0.42 eV per atom.



(6)
A plane-wave DFT calculation with GGA-PBE was carried out for Pr8Ge3OsI4 after structural relaxation.

Cell: 9.3271 9.3271 9.3271 Å, 56.08 56.08 56.08°
Closest atoms and distances in Å follow each position.
Positions (direct):
Pr  0.2338  0.2338  0.2338  3 Ge 2.98
Pr  0.2462  0.7232  0.7232  1 Os 2.85, 2 Ge 3.00
Pr  0.2768  0.2768  0.7538  1 Os 2.85, 2 Ge 3.00
Pr  0.2768  0.7538  0.2768  1 Os 2.85, 2 Ge 3.00
Pr  0.7232  0.2462  0.7232  1 Os 2.85, 2 Ge 3.00
Pr  0.7232  0.7232  0.2462  1 Os 2.85, 2 Ge 3.00
Pr  0.7538  0.2768  0.2768  1 Os 2.85, 2 Ge 3.00
Pr  0.7662  0.7662  0.7662  3 Ge 2.98
Ge  0.0000  0.0000  0.5000  6 Pr 2.98-3.00
Ge  0.0000  0.5000  0.0000  6 Pr 2.98-3.00
Ge  0.5000  0.0000  0.0000  6 Pr 2.98-3.00
Os  0.5000  0.5000  0.5000  6 Pr 2.85
I  0.0000  0.0000  0.0000  6 Pr 3.58
I  0.0000  0.5000  0.5000  6 Pr 3.45
I  0.5000  0.0000  0.5000  6 Pr 3.45
I  0.5000  0.5000  0.0000  6 Pr 3.45

## Properties
The size of the total moment comes out at 0.0 μB/f.u. The space group is No. 166. The calculation puts the volume at 522 Å³/f.u. As for the calculated total energy: -5.242 eV/atom. The value obtained for the uncorrected formation energy is -0.90 eV per atom.



(7)
A plane-wave DFT calculation with GGA-PBE was carried out for LaZn4Tc after structural relaxation.

Cell: 5.2749 5.2749 5.2749 Å, 60.00 60.00 60.00°
Closest atoms and distances in Å follow each position.
Positions (direct):
La  0.0000  0.0000  0.0000  12 Zn 3.10, 4 Tc 3.23
Zn  0.3770  0.3770  0.3770  6 Zn 2.59-2.68
Zn  0.3770  0.3770  0.8689  6 Zn 2.59-2.68
Zn  0.3770  0.8689  0.3770  6 Zn 2.59-2.68
Zn  0.8689  0.3770  0.3770  6 Zn 2.59-2.68
Tc  0.7500  0.7500  0.7500  12 Zn 3.09, 4 La 3.23

## Properties
Its formation energy is -0.40 eV/f.u. The size of the total moment comes out at 0.0 μB/f.u. The space group is No. 216. The calculation puts the volume at 104 Å³/f.u. As for the calculated total energy: -3.465 eV/atom.



(8)
A plane-wave DFT calculation with GGA-PBE was carried out for BaTaCu after structural relaxation.

Cell: 4.9453 4.9453 4.9453 Å, 60.00 60.00 60.00°
Closest atoms and distances in Å follow each position.
Positions (direct):
Ba  0.0000  0.0000  0.0000  4 Cu 3.03
Ta  0.5000  0.5000  0.5000  4 Cu 3.03
Cu  0.2500  0.2500  0.2500  4 Ba 3.03, 4 Ta 3.03

## Properties
Its formation energy is 4.09 eV/f.u. The size of the total moment comes out at 3.0 μB/f.u. The space group is No. 216. Its offset from the most stable computed form is 305 kJ/mol of formula units. The calculation puts the volume at 86 Å³/f.u. As for the calculated total energy: -4.593 eV/atom.